(w)
First-principles (PBE) data for an optimized crystal structure of FeNiBr2, as listed in Alexandria via LeMat-Bulk.

Values from the calculation:
Crystal system ... trigonal
Theoretical density ... 5.1 g/cm3

abc: 3.6987 3.6987 22.5930
angles: 90.00 90.00 120.00
Last column: nearest neighbours and their distance in Å.
Sites, in units of the cell vectors:
Fe  0.0000  0.0000  0.0000  3 Ni 2.41, 3 Br 2.62
Fe  0.3333  0.6667  0.6667  3 Ni 2.41, 3 Br 2.62
Fe  0.6667  0.3333  0.3333  3 Ni 2.41, 3 Br 2.62
Ni  0.0000  0.0000  0.7157  3 Fe 2.41, 3 Br 2.47
Ni  0.3333  0.6667  0.3824  3 Fe 2.41, 3 Br 2.47
Ni  0.6667  0.3333  0.0491  3 Fe 2.41, 3 Br 2.47
Br  0.0000  0.0000  0.2658  3 Fe 2.62
Br  0.0000  0.0000  0.4372  3 Ni 2.47
Br  0.3333  0.6667  0.1039  3 Ni 2.47
Br  0.3333  0.6667  0.9325  3 Fe 2.62
Br  0.6667  0.3333  0.5991  3 Fe 2.62
Br  0.6667  0.3333  0.7705  3 Ni 2.47



(x)
First-principles (PBE) data for an optimized crystal structure of FeNiBr2, as listed in Alexandria via LeMat-Bulk.

Values from the calculation:
Crystal system ... orthorhombic
Theoretical density ... 5.3 g/cm3

abc: 3.3726 6.7734 7.4857
angles: 90.00 90.00 90.00
Last column: nearest neighbours and their distance in Å.
Sites, in units of the cell vectors:
Fe  0.0000  0.0000  0.0000  4 Br 2.56
Fe  0.5000  0.5000  0.0000  4 Br 2.56
Ni  0.0000  0.0000  0.5000  4 Br 2.48
Ni  0.5000  0.5000  0.5000  4 Br 2.48
Br  0.0000  0.5000  0.2578  2 Ni 2.48, 2 Fe 2.56
Br  0.0000  0.5000  0.7422  2 Ni 2.48, 2 Fe 2.56
Br  0.5000  0.0000  0.2578  2 Ni 2.48, 2 Fe 2.56
Br  0.5000  0.0000  0.7422  2 Ni 2.48, 2 Fe 2.56



(y)
First-principles (PBE) data for an optimized crystal structure of FeNiBr2, as listed in Alexandria via LeMat-Bulk.

Values from the calculation:
Crystal system ... cubic
Theoretical density ... 7.2 g/cm3

abc: 6.3116 6.3116 6.3116
angles: 90.00 90.00 90.00
Last column: nearest neighbours and their distance in Å.
Sites, in units of the cell vectors:
Fe  0.0000  0.0000  0.0000  8 Br 2.73
Fe  0.0000  0.5000  0.5000  8 Br 2.73
Fe  0.5000  0.0000  0.5000  8 Br 2.73
Fe  0.5000  0.5000  0.0000  8 Br 2.73
Ni  0.0000  0.0000  0.5000  8 Br 2.73
Ni  0.0000  0.5000  0.0000  8 Br 2.73
Ni  0.5000  0.0000  0.0000  8 Br 2.73
Ni  0.5000  0.5000  0.5000  8 Br 2.73
Br  0.2500  0.2500  0.2500  4 Fe 2.73, 4 Ni 2.73
Br  0.2500  0.2500  0.7500  4 Fe 2.73, 4 Ni 2.73
Br  0.2500  0.7500  0.2500  4 Fe 2.73, 4 Ni 2.73
Br  0.2500  0.7500  0.7500  4 Fe 2.73, 4 Ni 2.73
Br  0.7500  0.2500  0.2500  4 Fe 2.73, 4 Ni 2.73
Br  0.7500  0.2500  0.7500  4 Fe 2.73, 4 Ni 2.73
Br  0.7500  0.7500  0.2500  4 Fe 2.73, 4 Ni 2.73
Br  0.7500  0.7500  0.7500  4 Fe 2.73, 4 Ni 2.73



Structures ranked by computed energy, the most stable listed first: (w), (x), (y).



(w)
First-principles (PBE) data for an optimized crystal structure of Fe2NiBr, as listed in Alexandria via LeMat-Bulk.

Values from the calculation:
Crystal system ... monoclinic
Theoretical density ... 6.3 g/cm3

abc: 3.3290 2.9785 6.6246
angles: 90.00 90.08 90.00
Last column: nearest neighbours and their distance in Å.
Sites, in units of the cell vectors:
Fe  0.0004  0.0000  0.1766  1 Fe 2.34, 4 Ni 2.52, 2 Br 2.61
Fe  0.9996  0.0000  0.8234  1 Fe 2.34, 4 Ni 2.52, 2 Br 2.61
Ni  0.5000  0.5000  0.0000  8 Fe 2.52
Br  0.0000  0.5000  0.5000  4 Fe 2.61



(x)
First-principles (PBE) data for an optimized crystal structure of Fe2NiBr, as listed in Alexandria via LeMat-Bulk.

Values from the calculation:
Crystal system ... monoclinic
Theoretical density ... 6.5 g/cm3

abc: 3.1635 3.0902 6.5607
angles: 90.00 90.30 90.00
Last column: nearest neighbours and their distance in Å.
Sites, in units of the cell vectors:
Fe  0.0000  0.0000  0.0000  1 Ni 2.43, 2 Br 2.56, 4 Fe 2.57
Fe  0.4983  0.5000  0.8013  4 Ni 2.48, 4 Fe 2.57
Ni  0.9969  0.0000  0.6293  5 Fe 2.43-2.48, 2 Br 2.60
Br  0.9643  0.5000  0.3111  2 Fe 2.56, 2 Ni 2.60



Structures ranked by computed energy, the most stable listed first: (x), (w).



(w)
First-principles (PBE) data for an optimized crystal structure of Fe2NiBr, as listed in Alexandria via LeMat-Bulk.

Values from the calculation:
Crystal system ... orthorhombic
Theoretical density ... 7.3 g/cm3

abc: 5.1163 7.6261 2.9109
angles: 90.00 90.00 90.00
Last column: nearest neighbours and their distance in Å.
Sites, in units of the cell vectors:
Fe  0.2500  0.2500  0.0000  2 Fe 2.56, 4 Br 2.72, 4 Ni 2.72
Fe  0.2500  0.7500  0.0000  2 Fe 2.56, 4 Br 2.72, 4 Ni 2.72
Fe  0.7500  0.2500  0.0000  2 Fe 2.56, 4 Br 2.72, 4 Ni 2.72
Fe  0.7500  0.7500  0.0000  2 Fe 2.56, 4 Br 2.72, 4 Ni 2.72
Ni  0.0000  0.0000  0.5000  2 Br 2.56, 8 Fe 2.72
Ni  0.5000  0.5000  0.5000  2 Br 2.56, 8 Fe 2.72
Br  0.0000  0.5000  0.5000  2 Ni 2.56, 8 Fe 2.72
Br  0.5000  0.0000  0.5000  2 Ni 2.56, 8 Fe 2.72



(x)
First-principles (PBE) data for an optimized crystal structure of Fe2NiBr, as listed in Alexandria via LeMat-Bulk.

Values from the calculation:
Crystal system ... cubic
Theoretical density ... 7.6 g/cm3

abc: 6.0337 6.0337 6.0337
angles: 90.00 90.00 90.00
Last column: nearest neighbours and their distance in Å.
Sites, in units of the cell vectors:
Fe  0.2500  0.2500  0.2500  4 Br 2.61, 4 Ni 2.61
Fe  0.2500  0.2500  0.7500  4 Br 2.61, 4 Ni 2.61
Fe  0.2500  0.7500  0.2500  4 Br 2.61, 4 Ni 2.61
Fe  0.2500  0.7500  0.7500  4 Br 2.61, 4 Ni 2.61
Fe  0.7500  0.2500  0.2500  4 Br 2.61, 4 Ni 2.61
Fe  0.7500  0.2500  0.7500  4 Br 2.61, 4 Ni 2.61
Fe  0.7500  0.7500  0.2500  4 Br 2.61, 4 Ni 2.61
Fe  0.7500  0.7500  0.7500  4 Br 2.61, 4 Ni 2.61
Ni  0.0000  0.0000  0.0000  8 Fe 2.61
Ni  0.0000  0.5000  0.5000  8 Fe 2.61
Ni  0.5000  0.0000  0.5000  8 Fe 2.61
Ni  0.5000  0.5000  0.0000  8 Fe 2.61
Br  0.0000  0.0000  0.5000  8 Fe 2.61
Br  0.0000  0.5000  0.0000  8 Fe 2.61
Br  0.5000  0.0000  0.0000  8 Fe 2.61
Br  0.5000  0.5000  0.5000  8 Fe 2.61



(y)
First-principles (PBE) data for an optimized crystal structure of Fe2NiBr, as listed in Alexandria via LeMat-Bulk.

Values from the calculation:
Crystal system ... trigonal
Theoretical density ... 6.9 g/cm3

abc: 3.0314 3.0314 22.5632
angles: 90.00 90.00 120.00
Last column: nearest neighbours and their distance in Å.
Sites, in units of the cell vectors:
Fe  0.0000  0.0000  0.0000  3 Fe 2.50, 3 Br 2.59
Fe  0.0000  0.0000  0.2544  3 Ni 2.44, 3 Fe 2.50
Fe  0.3333  0.6667  0.6667  3 Fe 2.50, 3 Br 2.59
Fe  0.3333  0.6667  0.9211  3 Ni 2.44, 3 Fe 2.50
Fe  0.6667  0.3333  0.3333  3 Fe 2.50, 3 Br 2.59
Fe  0.6667  0.3333  0.5878  3 Ni 2.44, 3 Fe 2.50
Ni  0.0000  0.0000  0.5125  3 Fe 2.44
Ni  0.3333  0.6667  0.1792  3 Fe 2.44
Ni  0.6667  0.3333  0.8459  3 Fe 2.44
Br  0.0000  0.0000  0.7514  3 Fe 2.59, 3 Ni 2.76
Br  0.3333  0.6667  0.4181  3 Fe 2.59, 3 Ni 2.76
Br  0.6667  0.3333  0.0848  3 Fe 2.59, 3 Ni 2.76



Structures ranked by computed energy, the most stable listed first: (y), (w), (x).



(w)
First-principles (PBE) data for an optimized crystal structure of Fe2NiBr, as listed in Alexandria via LeMat-Bulk.

Values from the calculation:
Crystal system ... monoclinic
Theoretical density ... 6.2 g/cm3

abc: 6.1961 3.5814 6.4042
angles: 90.00 108.36 90.00
Last column: nearest neighbours and their distance in Å.
Sites, in units of the cell vectors:
Fe  0.2235  0.0000  0.1744  3 Ni 2.32
Fe  0.2765  0.5000  0.8256  3 Ni 2.32
Fe  0.7235  0.5000  0.1744  3 Ni 2.32
Fe  0.7765  0.0000  0.8256  3 Ni 2.32
Ni  0.0000  0.5000  0.0000  6 Fe 2.32
Ni  0.5000  0.0000  0.0000  6 Fe 2.32
Br  0.0000  0.0000  0.5000  6 Fe 2.84-2.87
Br  0.5000  0.5000  0.5000  6 Fe 2.84-2.87



(x)
First-principles (PBE) data for an optimized crystal structure of Fe2NiBr, as listed in Alexandria via LeMat-Bulk.

Values from the calculation:
Crystal system ... orthorhombic
Theoretical density ... 7.5 g/cm3

abc: 3.1634 4.1087 8.5742
angles: 90.00 90.00 90.00
Last column: nearest neighbours and their distance in Å.
Sites, in units of the cell vectors:
Fe  0.0000  0.0000  0.2487  4 Fe 2.59, 2 Br 2.65, 2 Ni 2.67
Fe  0.0000  0.0000  0.7513  4 Fe 2.59, 2 Br 2.65, 2 Ni 2.67
Fe  0.5000  0.5000  0.2513  4 Fe 2.59, 2 Br 2.65, 2 Ni 2.67
Fe  0.5000  0.5000  0.7487  4 Fe 2.59, 2 Br 2.65, 2 Ni 2.67
Ni  0.0000  0.5000  0.0000  4 Br 2.59, 4 Fe 2.67
Ni  0.5000  0.0000  0.5000  4 Br 2.59, 4 Fe 2.67
Br  0.0000  0.5000  0.5000  4 Ni 2.59, 4 Fe 2.65
Br  0.5000  0.0000  0.0000  4 Ni 2.59, 4 Fe 2.65



Structures ranked by computed energy, the most stable listed first: (w), (x).